# MgGa3Cu

Crystalline MgGa3Cu at its relaxed geometry (PBE-GGA, Alexandria).

Calculated values
* total moment: 0.0 μB/cell
* formation energy: -0.3 eV per formula unit
* relative energy among the computed polymorphs: 0.00 eV/f.u.

Geometry as CIF:
```
data_MgGa3Cu
_cell_length_a 7.153
_cell_length_b 5.319
_cell_length_c 9.304
_cell_angle_alpha 90.00
_cell_angle_beta 95.72
_cell_angle_gamma 90.00
_space_group_name_H-M_alt 'P 1 21/c 1'
_space_group_IT_number 14
loop_
_space_group_symop_operation_xyz
'x,y,z'
'-x,-y,-z'
'-x,y+1/2,-z+1/2'
'x,-y+1/2,z+1/2'
loop_
_atom_site_label
_atom_site_fract_x
_atom_site_fract_y
_atom_site_fract_z
Mg1 0.155 0.070 0.248
Ga1 0.131 0.644 0.060
Ga2 0.245 0.553 0.364
Ga3 0.412 0.202 0.558
Cu1 0.464 0.728 0.683
```

# Fe2TePt

Crystalline Fe2TePt at its relaxed geometry (PBE-GGA, Alexandria).

Calculated values
* total moment: 17.0 μB/cell
* formation energy without anion corrections: 28.62 kJ per mole of atoms

Geometry as CIF:
```
data_Fe2TePt
_cell_length_a 3.0289
_cell_length_b 3.0289
_cell_length_c 25.0959
_cell_angle_alpha 90.00
_cell_angle_beta 90.00
_cell_angle_gamma 120.00
_space_group_name_H-M_alt 'R 3 m'
_space_group_IT_number 160
_space_group_name_Hall 'R 3 -2"'
loop_
_atom_site_label
_atom_site_fract_x
_atom_site_fract_y
_atom_site_fract_z
Fe1 0.0000 0.0000 0.0000
Fe2 0.0000 0.0000 0.2634
Te1 0.0000 0.0000 0.5154
Pt1 0.0000 0.0000 0.7448
```

Calculated volume, record by record: 17.61, 16.62 Å³ per atom
Theoretical density, record by record: 5.6, 10.9 g/cm3
VASP energy, record by record: -3.015, -6.230 eV per atom